A relaxed ZrSc2TlB crystal, computed with GGA-PBE.

Results
**Volume**: 20.4 Å³/atom
**Calculated formation energy**: -375.1 meV per atom
**Density**: 6.5 g cm⁻³

Lattice parameters (Å, degrees): 4.6550 4.6550 4.7039 90.00 90.00 90.00
Closest atoms and distances in Å follow each position.
Fractional positions:
Zr (0.0000, 0.0000, 0.0000)  2 B 2.35
Sc (0.0000, 0.5000, 0.5000)  2 B 2.33
Sc (0.5000, 0.0000, 0.5000)  2 B 2.33
Tl (0.5000, 0.5000, 0.0000)  4 Zr 3.29, 8 Sc 3.31
B (0.0000, 0.0000, 0.5000)  4 Sc 2.33, 2 Zr 2.35

---

A relaxed SrRe2TcW crystal, computed with GGA-PBE.

Results
**Volume**: 20.1 Å³/atom
**Calculated formation energy**: 3865.3 meV per atom
**Density**: 12.3 g cm⁻³

Lattice parameters (Å, degrees): 4.6323 4.6323 4.6842 90.00 90.00 90.00
Closest atoms and distances in Å follow each position.
Fractional positions:
Sr (0.0000, 0.0000, 0.0000)  4 Re 2.32, 2 W 2.34
Re (0.0000, 0.5000, 0.0000)  2 Sr 2.32
Re (0.5000, 0.0000, 0.0000)  2 Sr 2.32
Tc (0.5000, 0.5000, 0.5000)  4 W 3.28, 8 Re 3.29
W (0.0000, 0.0000, 0.5000)  2 Sr 2.34

---

A relaxed PaTl2CoS4 crystal, computed with GGA-PBE.

Results
**Volume**: 23.8 Å³/atom
**Density**: 7.2 g cm⁻³
**Formation energy without anion corrections**: -0.578 eV per atom

Lattice parameters (Å, degrees): 6.2804 6.2804 6.2804 109.30 109.30 109.82
Closest atoms and distances in Å follow each position.
Fractional positions:
Pa (0.0000, 0.0000, 0.0000)  4 S 2.61
Tl (0.5000, 0.5000, 0.0000)  8 S 3.16-3.32
Tl (0.7500, 0.2500, 0.5000)  4 S 3.11
Co (0.2500, 0.7500, 0.5000)  4 S 2.20
S (0.0958, 0.6561, 0.0914)  1 Co 2.20
S (0.3439, 0.4353, 0.4397)  1 Co 2.20
S (0.5647, 0.0044, 0.9086)  1 Co 2.20
S (0.9956, 0.9042, 0.5603)  1 Co 2.20

---

A relaxed Sb2Se2S crystal, computed with GGA-PBE.

Results
**Volume**: 29.7 Å³/atom
**Density**: 4.9 g cm⁻³
**Formation energy without anion corrections**: -0.129 eV per atom

Lattice parameters (Å, degrees): 9.5837 9.5837 8.4597 90.00 90.00 157.55
Closest atoms and distances in Å follow each position.
Fractional positions:
Sb (0.0769, 0.9231, 0.5000)  4 Se 2.69-2.92
Sb (0.3464, 0.6536, 0.4015)  2 S 2.52, 1 Se 2.66
Sb (0.6536, 0.3464, 0.9015)  2 S 2.52, 1 Se 2.66
Sb (0.9231, 0.0769, 0.0000)  4 Se 2.69-2.92
Se (0.3203, 0.6797, 0.9834)  2 Sb 2.69
Se (0.4692, 0.5308, 0.2450)  3 Sb 2.66-2.92
Se (0.5308, 0.4692, 0.7450)  3 Sb 2.66-2.92
Se (0.6797, 0.3203, 0.4834)  2 Sb 2.69
S (0.1167, 0.8833, 0.0834)  2 Sb 2.52
S (0.8833, 0.1167, 0.5834)  2 Sb 2.52

---

A relaxed LaPm2ErBi4 crystal, computed with GGA-PBE.

Results
**Volume**: 34.0 Å³/atom
**Calculated formation energy**: -927.4 meV per atom
**Density**: 8.7 g cm⁻³

Lattice parameters (Å, degrees): 7.9246 4.5860 7.9387 90.00 109.47 90.00
Closest atoms and distances in Å follow each position.
Fractional positions:
La (0.0000, 0.0000, 0.0000)  6 Bi 3.26-3.27
Pm (0.0000, 0.5000, 0.5000)  6 Bi 3.28
Pm (0.5000, 0.0000, 0.5000)  6 Bi 3.21
Er (0.5000, 0.5000, 0.0000)  6 Bi 3.20
Bi (0.2570, 0.5000, 0.2511)  1 Er 3.20, 3 Pm 3.21-3.28, 2 La 3.27
Bi (0.2579, 0.0000, 0.7539)  2 Er 3.20, 3 Pm 3.21-3.28, 1 La 3.26
Bi (0.7421, 0.0000, 0.2461)  2 Er 3.20, 3 Pm 3.21-3.28, 1 La 3.26
Bi (0.7430, 0.5000, 0.7489)  1 Er 3.20, 3 Pm 3.21-3.28, 2 La 3.27

---

A relaxed Mn5Bi4Pd2 crystal, computed with GGA-PBE.

Results
**Volume**: 21.5 Å³/atom
**Calculated formation energy**: 97.0 meV per atom
**Density**: 9.3 g cm⁻³

Lattice parameters (Å, degrees): 8.7485 8.7485 8.7485 60.00 60.00 60.00
Closest atoms and distances in Å follow each position.
Fractional positions:
Mn (0.1573, 0.1573, 0.1573)  3 Pd 2.68, 3 Bi 2.95, 3 Mn 2.96
Mn (0.1573, 0.1573, 0.5281)  3 Pd 2.68, 3 Bi 2.95, 3 Mn 2.96
Mn (0.1573, 0.5281, 0.1573)  3 Pd 2.68, 3 Bi 2.95, 3 Mn 2.96
Mn (0.2456, 0.2456, 0.7544)  2 Pd 2.75, 2 Mn 2.96, 1 Bi 3.04
Mn (0.2456, 0.7544, 0.2456)  2 Pd 2.75, 2 Mn 2.96, 1 Bi 3.04
Mn (0.2456, 0.7544, 0.7544)  2 Pd 2.75, 2 Mn 2.96, 1 Bi 3.04
Mn (0.5281, 0.1573, 0.1573)  3 Pd 2.68, 3 Bi 2.95, 3 Mn 2.96
Mn (0.7544, 0.2456, 0.2456)  2 Pd 2.75, 2 Mn 2.96, 1 Bi 3.04
Mn (0.7544, 0.2456, 0.7544)  2 Pd 2.75, 2 Mn 2.96, 1 Bi 3.04
Mn (0.7544, 0.7544, 0.2456)  2 Pd 2.75, 2 Mn 2.96, 1 Bi 3.04
Bi (0.0000, 0.0000, 0.0000)  10 Mn 3.04-3.37
Bi (0.5000, 0.5000, 0.5000)  4 Pd 2.78
Bi (0.5415, 0.5415, 0.9585)  6 Mn 2.95-3.14, 2 Pd 2.98
Bi (0.5415, 0.9585, 0.5415)  6 Mn 2.95-3.14, 2 Pd 2.98
Bi (0.5415, 0.9585, 0.9585)  6 Mn 2.95-3.14, 2 Pd 2.98
Bi (0.9585, 0.5415, 0.5415)  6 Mn 2.95-3.14, 2 Pd 2.98
Bi (0.9585, 0.5415, 0.9585)  6 Mn 2.95-3.14, 2 Pd 2.98
Bi (0.9585, 0.9585, 0.5415)  6 Mn 2.95-3.14, 2 Pd 2.98
Pd (0.3700, 0.3700, 0.3700)  6 Mn 2.68-2.75, 4 Bi 2.78-2.98
Pd (0.3700, 0.3700, 0.8899)  6 Mn 2.68-2.75, 4 Bi 2.78-2.98
Pd (0.3700, 0.8899, 0.3700)  6 Mn 2.68-2.75, 4 Bi 2.78-2.98
Pd (0.8899, 0.3700, 0.3700)  6 Mn 2.68-2.75, 4 Bi 2.78-2.98